Entry 1:
A plane-wave DFT calculation with PBE-GGA was carried out for a relaxed BeZnCdIr crystal.

## Properties
ΔE to the lowest computed polymorph: 0.45 eV per formula unit
calculated total energy: -3.765 eV/atom
space group: Cm (8)
energy of formation: -0.071 eV per atom

Cell and atoms, written as POSCAR:
```
BeZnCdIr
1.0
-1.106 1.078 -5.105
-0.249 -3.833 -0.756
-5.361 -0.454 4.071
Be Zn Cd Ir
2 2 2 2
direct
0.801 0.000 0.448 Be
0.801 0.500 0.948 Be
0.536 0.000 0.691 Zn
0.536 0.500 0.191 Zn
0.186 0.500 0.409 Cd
0.186 0.000 0.909 Cd
0.801 0.500 0.614 Ir
0.801 0.000 0.114 Ir
```

***

Entry 2:
A plane-wave DFT calculation with PBE-GGA was carried out for a relaxed SmErCl2 crystal.

## Properties
calculated total energy: -4.551 eV/atom
space group: R-3m (166)
E_form (uncorrected): -1.307 eV/atom

Cell and atoms, written as POSCAR:
```
SmErCl2
1.0
3.599 0.000 0.000
1.800 3.117 0.000
1.800 1.039 9.457
Er Cl Sm
1 2 1
direct
0.000 0.000 0.000 Er
0.905 0.905 0.284 Cl
0.095 0.095 0.716 Cl
0.500 0.500 0.500 Sm
```

***

Please write out number 2 again, unchanged.
A plane-wave DFT calculation with PBE-GGA was carried out for a relaxed SmErCl2 crystal.

## Properties
calculated total energy: -4.551 eV/atom
space group: R-3m (166)
E_form (uncorrected): -1.307 eV/atom

Cell and atoms, written as POSCAR:
```
SmErCl2
1.0
3.599 0.000 0.000
1.800 3.117 0.000
1.800 1.039 9.457
Er Cl Sm
1 2 1
direct
0.000 0.000 0.000 Er
0.905 0.905 0.284 Cl
0.095 0.095 0.716 Cl
0.500 0.500 0.500 Sm
```